MnFeTc3: single point on PBEsol structure, meta-GGA SCAN.

a b c (Å): 4.292 4.292 4.292
angles (deg): 90.00 90.00 90.00
Atoms (fractional coordinates):
Mn (0.000, 0.000, 0.000)
Fe (0.500, 0.500, 0.500)
Tc (0.000, 0.000, 0.500)
Tc (0.000, 0.500, 0.000)
Tc (0.500, 0.000, 0.000)

## Properties
The formation energy from the elements is 1.323 eV per atom. The volume comes out at 15.818 A^3/atom. The value obtained for the total energy is -26.9904 eV/atom.